This record from Alexandria via LeMat-Bulk describes an optimized crystal structure of ZrBiMo2O. The functional is PBE with a Hubbard U.

a b c (Å): 5.5765 4.3004 5.5765
angles (deg): 90.00 90.00 90.00
With the nearest neighbours (Å) after each atom.
Element x y z (fractional)
1 Mo 0.0000 0.0000 0.5000  2 Bi 2.79
2 Mo 0.5000 0.0000 0.0000  2 Bi 2.79
3 Bi 0.0000 0.0000 0.0000  2 O 2.15
4 O 0.0000 0.5000 0.0000  2 Bi 2.15
5 Zr 0.5000 0.5000 0.5000  8 Mo 3.52, 4 O 3.94

Summary:
N(E_F) ... 5.86 states/eV/cell
Calculated total energy ... -0.362 Ry per atom
Density ... 6.31 g cm⁻³
Magnetic moment ... 6.5 μB/f.u.


This record from Alexandria via LeMat-Bulk describes an optimized crystal structure of Ta2VO6. The functional is PBE with a Hubbard U.

a b c (Å): 4.8395 4.8395 9.2446
angles (deg): 90.00 90.00 90.00
With the nearest neighbours (Å) after each atom.
Element x y z (fractional)
1 O 0.7942 0.7942 0.1786  2 Ta 1.99-2.02, 1 V 2.17
2 O 0.6855 0.3145 0.0000  2 Ta 2.02, 1 V 2.15
3 O 0.2942 0.7058 0.3214  2 Ta 1.99-2.02, 1 V 2.17
4 O 0.7942 0.7942 0.8214  2 Ta 1.99-2.02, 1 V 2.17
5 O 0.2058 0.2058 0.8214  2 Ta 1.99-2.02, 1 V 2.17
6 O 0.7058 0.2942 0.6786  2 Ta 1.99-2.02, 1 V 2.17
7 O 0.2058 0.2058 0.1786  2 Ta 1.99-2.02, 1 V 2.17
8 O 0.3145 0.6855 0.0000  2 Ta 2.02, 1 V 2.15
9 O 0.1855 0.1855 0.5000  2 Ta 2.02, 1 V 2.15
10 O 0.8145 0.8145 0.5000  2 Ta 2.02, 1 V 2.15
11 O 0.7058 0.2942 0.3214  2 Ta 1.99-2.02, 1 V 2.17
12 O 0.2942 0.7058 0.6786  2 Ta 1.99-2.02, 1 V 2.17
13 Ta 0.5000 0.5000 0.1695  6 O 1.99-2.02
14 Ta 0.5000 0.5000 0.8305  6 O 1.99-2.02
15 Ta 0.0000 0.0000 0.3305  6 O 1.99-2.02
16 Ta 0.0000 0.0000 0.6695  6 O 1.99-2.02
17 V 0.0000 0.0000 0.0000  6 O 2.15-2.17
18 V 0.5000 0.5000 0.5000  6 O 2.15-2.17

Summary:
E above lowest polymorph ... 0 meV per atom
Density ... 7.80 g cm⁻³
Magnetic moment ... 3.0 μB/f.u.


Which value of magnetic moment does entry 2 give? 3.0 μB/f.u.